Material: Ho3ThN
Method: DFT, PBE
State: relaxed

Unit cell a=4.950 b=4.950 c=4.950 alpha=90.00 beta=90.00 gamma=90.00
Space group Pm-3m (No. 221)
One atom of each set of equivalent atoms:
Ho 0.000 0.000 0.500 x3
Th 0.500 0.500 0.500 x1
N 0.000 0.000 0.000 x1

Values from the calculation:
ΔE_f (raw)	-449	meV per atom